Entry from Alexandria: a geometry-optimized U2SbO2 structure (GGA-PBE).

Results
formation energy without anion corrections = -2046 meV per atom
density of states at the Fermi level = 17.9 states/eV per cell
space-group type = Fddd

```
U2SbO2
1.0
0.5345 -1.0689 -6.0859
3.6242 -3.9240 3.1519
-6.1083 -1.0137 1.7297
U Sb O
4 2 4
Cartesian
3.0479 -3.3915 1.4287
1.1108 -1.6015 -4.3628
0.3739 -4.2497 3.4304
-0.7787 -3.1845 -0.0159
2.0794 -2.4965 -1.4670
-1.7472 -2.2895 -2.9116
-0.9169 -5.1069 -1.2717
-1.0327 -0.8997 0.0673
0.8303 -2.8174 1.6399
-1.2351 -4.6168 1.7746
```